# CuIrPtO4 | Alexandria via LeMat-Bulk | PBE | relaxed
# ΔE_f (raw) = -413 meV per atom
# energy = -83.44 eV/cell
data_CuIrPtO4
_symmetry_space_group_name_H-M 'P 1'
_symmetry_Int_Tables_number 1
_cell_length_a 6.235
_cell_length_b 6.212
_cell_length_c 6.217
_cell_angle_alpha 120.03
_cell_angle_beta 90.00
_cell_angle_gamma 120.12
loop_
_symmetry_equiv_pos_as_xyz
'x,y,z'
loop_
_atom_site_label
_atom_site_fract_x
_atom_site_fract_y
_atom_site_fract_z
_atom_site_occupancy
O1 0.263 0.527 0.735 1
O2 0.262 0.974 0.737 1
O3 0.737 0.473 0.265 1
Cu1 0.125 0.250 0.875 1
O4 0.737 0.473 0.708 1
Cu2 0.875 0.750 0.125 1
Pt1 0.500 0.000 0.000 1
O5 0.738 0.026 0.263 1
O6 0.712 0.974 0.737 1
Ir1 0.500 0.500 0.500 1
O7 0.288 0.026 0.263 1
Pt2 0.500 0.000 0.500 1
O8 0.263 0.527 0.292 1
Ir2 0.000 0.500 0.500 1

=====

# CuIr2PtO | Alexandria via LeMat-Bulk | PBE | relaxed
# ΔE_f (raw) = 470 meV per atom
# energy = -30.47 eV/cell
data_CuIr2PtO
_symmetry_space_group_name_H-M 'P 1'
_symmetry_Int_Tables_number 1
_cell_length_a 4.083
_cell_length_b 4.049
_cell_length_c 4.083
_cell_angle_alpha 90.00
_cell_angle_beta 90.00
_cell_angle_gamma 90.00
loop_
_symmetry_equiv_pos_as_xyz
'x,y,z'
loop_
_atom_site_label
_atom_site_fract_x
_atom_site_fract_y
_atom_site_fract_z
_atom_site_occupancy
Cu1 0.000 0.500 0.000 1
Ir1 0.500 0.000 0.000 1
O1 0.000 0.000 0.000 1
Pt1 0.500 0.500 0.500 1
Ir2 0.000 0.000 0.500 1

=====

# PuCuIrO6 | Alexandria via LeMat-Bulk | PBE | relaxed
# ΔE_f (raw) = -1429 meV per atom
# energy = -139.79 eV/cell
data_PuCuIrO6
_symmetry_space_group_name_H-M 'P 1'
_symmetry_Int_Tables_number 1
_cell_length_a 5.172
_cell_length_b 5.172
_cell_length_c 9.220
_cell_angle_alpha 90.00
_cell_angle_beta 90.00
_cell_angle_gamma 120.00
loop_
_symmetry_equiv_pos_as_xyz
'x,y,z'
loop_
_atom_site_label
_atom_site_fract_x
_atom_site_fract_y
_atom_site_fract_z
_atom_site_occupancy
O1 0.989 0.334 0.628 1
O2 0.656 0.989 0.372 1
O3 0.656 0.666 0.128 1
O4 0.344 0.011 0.628 1
Pu1 0.667 0.333 0.250 1
O5 0.011 0.344 0.128 1
Cu1 0.000 0.000 0.500 1
Ir1 0.667 0.333 0.750 1
O6 0.666 0.011 0.872 1
O7 0.334 0.344 0.372 1
O8 0.344 0.334 0.872 1
O9 0.334 0.989 0.128 1
O10 0.989 0.656 0.872 1
Pu2 0.333 0.667 0.750 1
O11 0.011 0.666 0.372 1
O12 0.666 0.656 0.628 1
Cu2 0.000 0.000 0.000 1
Ir2 0.333 0.667 0.250 1

=====

# PuCu2IrO8 | Alexandria via LeMat-Bulk | PBE | relaxed
# ΔE_f (raw) = -911 meV per atom
# energy = -81.98 eV/cell
data_PuCu2IrO8
_symmetry_space_group_name_H-M 'P 1'
_symmetry_Int_Tables_number 1
_cell_length_a 5.769
_cell_length_b 5.769
_cell_length_c 5.769
_cell_angle_alpha 112.64
_cell_angle_beta 112.64
_cell_angle_gamma 103.31
loop_
_symmetry_equiv_pos_as_xyz
'x,y,z'
loop_
_atom_site_label
_atom_site_fract_x
_atom_site_fract_y
_atom_site_fract_z
_atom_site_occupancy
O1 0.505 0.702 0.803 1
Pu1 0.250 0.750 0.500 1
O2 0.758 0.050 0.708 1
O3 0.950 0.658 0.708 1
O4 0.298 0.102 0.803 1
O5 0.898 0.702 0.197 1
O6 0.950 0.242 0.292 1
Cu1 0.500 0.500 0.000 1
Cu2 0.750 0.250 0.500 1
Ir1 0.000 0.000 0.000 1
O7 0.298 0.495 0.197 1
O8 0.342 0.050 0.292 1

=====

# Rb2CuIrO4 | Alexandria via LeMat-Bulk | PBE | relaxed
# ΔE_f (raw) = -882 meV per atom
# energy = -83.57 eV/cell
data_Rb2CuIrO4
_symmetry_space_group_name_H-M 'P 1'
_symmetry_Int_Tables_number 1
_cell_length_a 5.729
_cell_length_b 7.531
_cell_length_c 10.079
_cell_angle_alpha 83.80
_cell_angle_beta 73.49
_cell_angle_gamma 67.65
loop_
_symmetry_equiv_pos_as_xyz
'x,y,z'
loop_
_atom_site_label
_atom_site_fract_x
_atom_site_fract_y
_atom_site_fract_z
_atom_site_occupancy
O1 0.907 0.688 0.504 1
Rb1 0.919 0.500 0.162 1
O2 0.651 0.188 0.004 1
Rb2 0.831 0.000 0.338 1
O3 0.161 0.188 0.996 1
O4 0.589 0.312 0.504 1
Cu1 0.000 0.000 0.000 1
O5 0.405 0.688 0.496 1
Ir1 0.500 0.000 0.000 1
O6 0.099 0.312 0.496 1
O7 0.843 0.812 0.996 1
Cu2 0.750 0.500 0.500 1
Rb3 0.169 0.000 0.662 1
Rb4 0.581 0.500 0.838 1
O8 0.345 0.812 0.004 1
Ir2 0.250 0.500 0.500 1

=====

# Rb2Cu2IrO6 | Alexandria via LeMat-Bulk | PBE | relaxed
# ΔE_f (raw) = -908 meV per atom
# energy = -58.73 eV/cell
data_Rb2Cu2IrO6
_symmetry_space_group_name_H-M 'P 1'
_symmetry_Int_Tables_number 1
_cell_length_a 5.843
_cell_length_b 5.843
_cell_length_c 6.803
_cell_angle_alpha 64.57
_cell_angle_beta 64.57
_cell_angle_gamma 60.00
loop_
_symmetry_equiv_pos_as_xyz
'x,y,z'
loop_
_atom_site_label
_atom_site_fract_x
_atom_site_fract_y
_atom_site_fract_z
_atom_site_occupancy
Rb1 0.210 0.210 0.369 1
O1 0.219 0.760 0.802 1
Rb2 0.790 0.790 0.631 1
O2 0.760 0.219 0.802 1
O3 0.240 0.781 0.198 1
Cu1 0.609 0.609 0.172 1
Ir1 0.000 0.000 0.000 1
O4 0.219 0.219 0.802 1
O5 0.781 0.781 0.198 1
O6 0.781 0.240 0.198 1
Cu2 0.391 0.391 0.828 1

=====

# RbCuIrO6 | Alexandria via LeMat-Bulk | PBE | relaxed
# ΔE_f (raw) = -625 meV per atom
# energy = -49.30 eV/cell
data_RbCuIrO6
_symmetry_space_group_name_H-M 'P 1'
_symmetry_Int_Tables_number 1
_cell_length_a 5.191
_cell_length_b 5.505
_cell_length_c 6.202
_cell_angle_alpha 93.40
_cell_angle_beta 91.81
_cell_angle_gamma 57.97
loop_
_symmetry_equiv_pos_as_xyz
'x,y,z'
loop_
_atom_site_label
_atom_site_fract_x
_atom_site_fract_y
_atom_site_fract_z
_atom_site_occupancy
O1 0.379 0.005 0.643 1
Cu1 0.678 0.661 0.500 1
O2 0.996 0.399 0.328 1
O3 0.379 0.615 0.357 1
O4 0.575 0.058 0.289 1
O5 0.996 0.605 0.672 1
Rb1 0.065 0.967 0.000 1
O6 0.575 0.367 0.710 1
Ir1 0.356 0.322 0.500 1

=====

# CuIrRhO5 | Alexandria via LeMat-Bulk | PBE | relaxed
# ΔE_f (raw) = -456 meV per atom
# energy = -97.49 eV/cell
data_CuIrRhO5
_symmetry_space_group_name_H-M 'P 1'
_symmetry_Int_Tables_number 1
_cell_length_a 5.620
_cell_length_b 5.620
_cell_length_c 7.095
_cell_angle_alpha 105.99
_cell_angle_beta 105.99
_cell_angle_gamma 108.39
loop_
_symmetry_equiv_pos_as_xyz
'x,y,z'
loop_
_atom_site_label
_atom_site_fract_x
_atom_site_fract_y
_atom_site_fract_z
_atom_site_occupancy
O1 0.887 0.113 0.750 1
Cu1 0.694 0.306 0.250 1
O2 0.659 0.001 0.318 1
Ir1 0.000 0.000 0.000 1
Cu2 0.306 0.694 0.750 1
O3 0.353 0.294 0.088 1
O4 0.341 0.999 0.682 1
Ir2 0.000 0.000 0.500 1
O5 0.294 0.353 0.588 1
O6 0.113 0.887 0.250 1
O7 0.999 0.341 0.182 1
Rh1 0.658 0.342 0.750 1
O8 0.647 0.706 0.912 1
O9 0.001 0.659 0.818 1
Rh2 0.342 0.658 0.250 1
O10 0.706 0.647 0.412 1